Entry 1:
## LaCeIn (PBE-GGA)

Data for LaCeIn after structural relaxation.

Values from the calculation:
E above lowest polymorph, eV per atom: 0.069
Symmetry: I4mm, No. 107
E_form, eV/atom: -0.23

abc: 5.897 5.897 5.897
angles: 138.39 138.39 60.30
Fractional coordinates of all 3 atoms:
La (0.000, 0.000, 0.000)
Ce (0.681, 0.681, 0.000)
In (0.337, 0.337, 0.000)

=====

Entry 2:
## LaCe2In9 (PBE-GGA)

Data for LaCe2In9 after structural relaxation.

Values from the calculation:
Symmetry: P4/mmm, No. 123
E_form, eV/atom: -0.44

abc: 4.734 4.734 14.205
angles: 90.00 90.00 90.00
Fractional coordinates of all 12 atoms:
La (0.000, 0.000, 0.000)
Ce (0.000, 0.000, 0.335)
Ce (0.000, 0.000, 0.665)
In (0.000, 0.500, 0.170)
In (0.000, 0.500, 0.500)
In (0.000, 0.500, 0.830)
In (0.500, 0.000, 0.170)
In (0.500, 0.000, 0.500)
In (0.500, 0.000, 0.830)
In (0.500, 0.500, 0.000)
In (0.500, 0.500, 0.335)
In (0.500, 0.500, 0.665)

=====

Entry 3:
## LaCeIn (PBE-GGA)

Data for LaCeIn after structural relaxation.

Values from the calculation:
E above lowest polymorph, eV per atom: 0.082
Symmetry: Immm, No. 71
E_form, eV/atom: -0.21

abc: 6.322 6.322 6.322
angles: 127.95 118.96 84.31
Fractional coordinates of all 6 atoms:
La (0.168, 0.168, 0.000)
La (0.832, 0.832, 0.000)
Ce (0.358, 0.858, 0.500)
Ce (0.642, 0.142, 0.500)
In (0.247, 0.500, 0.747)
In (0.753, 0.500, 0.253)

=====

Entry 4:
## La4Ce2In3 (PBE-GGA)

Data for La4Ce2In3 after structural relaxation.

Values from the calculation:
Symmetry: C2/c, No. 15
E_form, eV/atom: -0.14

abc: 9.885 9.885 6.434
angles: 103.38 103.38 72.67
Fractional coordinates of all 18 atoms:
La (0.097, 0.772, 0.964)
La (0.207, 0.468, 0.474)
La (0.228, 0.903, 0.536)
La (0.468, 0.207, 0.974)
La (0.532, 0.793, 0.026)
La (0.772, 0.097, 0.464)
La (0.793, 0.532, 0.526)
La (0.903, 0.228, 0.036)
Ce (0.136, 0.478, 0.011)
Ce (0.478, 0.136, 0.511)
Ce (0.522, 0.864, 0.489)
Ce (0.864, 0.522, 0.989)
In (0.062, 0.240, 0.605)
In (0.240, 0.062, 0.105)
In (0.446, 0.554, 0.250)
In (0.554, 0.446, 0.750)
In (0.760, 0.938, 0.895)
In (0.938, 0.760, 0.395)

=====

Entry 5:
## La2CeIn4 (PBE-GGA)

Data for La2CeIn4 after structural relaxation.

Values from the calculation:
Symmetry: I4/mmm, No. 139
E_form, eV/atom: -0.28

abc: 8.373 8.373 8.373
angles: 141.63 141.63 55.38
Fractional coordinates of all 7 atoms:
La (0.243, 0.243, 0.000)
La (0.757, 0.757, 0.000)
Ce (0.500, 0.500, 0.000)
In (0.110, 0.610, 0.500)
In (0.390, 0.890, 0.500)
In (0.610, 0.110, 0.500)
In (0.890, 0.390, 0.500)

=====

Entry 6:
## La5Ce2In2 (PBE-GGA)

Data for La5Ce2In2 after structural relaxation.

Values from the calculation:
Symmetry: Cmce, No. 64
E_form, eV/atom: -0.05

abc: 9.102 9.102 8.201
angles: 90.00 90.00 57.71
Fractional coordinates of all 18 atoms:
La (0.000, 0.000, 0.000)
La (0.080, 0.638, 0.713)
La (0.138, 0.580, 0.213)
La (0.362, 0.920, 0.713)
La (0.420, 0.862, 0.213)
La (0.500, 0.500, 0.500)
La (0.580, 0.138, 0.787)
La (0.638, 0.080, 0.287)
La (0.862, 0.420, 0.787)
La (0.920, 0.362, 0.287)
Ce (0.112, 0.888, 0.391)
Ce (0.388, 0.612, 0.891)
Ce (0.612, 0.388, 0.109)
Ce (0.888, 0.112, 0.609)
In (0.238, 0.238, 0.000)
In (0.262, 0.262, 0.500)
In (0.738, 0.738, 0.500)
In (0.762, 0.762, 0.000)

=====

> Which of these has the lowest E_form?

LaCe2In9

=====

> Among the records above, which one has the highest E_form?

La5Ce2In2